Compound: CsIr2Se
Source: the Alexandria database
Functional: GGA-PBE
Structure: relaxed

Cell and atoms, written as POSCAR:
```
CsIr2Se
1.0
5.186 0.000 0.000
0.000 5.186 0.000
2.593 2.593 8.323
Ir Se Cs
4 2 2
Cartesian
2.593 1.297 2.081 Ir
2.593 3.890 2.081 Ir
6.483 5.186 6.242 Ir
3.890 5.186 6.242 Ir
2.593 5.186 4.161 Se
2.593 2.593 0.000 Se
0.000 0.000 0.000 Cs
5.186 2.593 4.161 Cs
```

Calculated values
Total magnetization in μB/cell: 0.037
Calculated volume in Å³ per atom: 28.0
DFT total energy in eV per atom: -5.176